(1)
The following is a DFT calculation (GGA-PBE) of a relaxed CaDy2ScSb4 crystal.

The structure in extended XYZ format:
```
8
Lattice="-4.083 -0.386 4.615 -0.190 -6.134 -0.675 6.763 2.672 2.073" Properties=species:S:1:pos:R:3 pbc="T T T"
Dy 2.488 -2.950 1.436
Dy 0.541 -0.076 4.081
Sc -1.868 -2.851 1.723
Ca -4.006 -6.113 3.694
Sb -3.909 -3.046 4.030
Sb 2.683 0.104 1.861
Sb -1.964 -5.918 1.387
Sb 0.346 -3.131 3.656
```

Output
- formation energy (no corrections) (meV/atom) = -965
- total moment (μB per formula unit) = 0.0
- energy (eV per formula unit) = -41.74



(2)
The following is a DFT calculation (GGA-PBE) of a relaxed Na2Ga3 crystal.

The structure in extended XYZ format:
```
20
Lattice="5.797 0.000 0.000 0.000 7.928 0.000 0.000 0.000 9.600" Properties=species:S:1:pos:R:3 pbc="T T T"
Na 2.276 5.370 8.788
Na 3.521 2.558 0.812
Na 3.521 5.370 5.611
Na 0.622 6.522 3.988
Na 0.622 1.406 8.788
Na 5.174 6.522 0.812
Na 5.174 1.406 5.611
Na 2.276 2.558 3.988
Ga 2.231 7.737 1.291
Ga 0.000 1.189 2.400
Ga 5.129 3.773 3.509
Ga 2.898 2.775 7.200
Ga 0.668 4.155 6.091
Ga 2.898 5.153 2.400
Ga 5.129 4.155 8.309
Ga 0.668 3.773 1.291
Ga 2.231 0.191 6.091
Ga 0.000 6.739 7.200
Ga 3.566 0.191 8.309
Ga 3.566 7.737 3.509
```

Output
- total moment (μB per formula unit) = 0.0
- energy (eV per formula unit) = -12.01



(3)
The following is a DFT calculation (GGA-PBE) of a relaxed Tb5TmTe6 crystal.

The structure in extended XYZ format:
```
12
Lattice="7.535 0.211 0.000 2.323 7.181 0.000 1.162 3.590 6.552" Properties=species:S:1:pos:R:3 pbc="T T T"
Tb 4.929 3.696 4.295
Tb 4.929 3.696 0.000
Tb 6.091 7.286 2.257
Tb 1.162 3.590 2.200
Tb 2.323 7.181 4.353
Te 7.403 5.582 0.000
Te 4.771 9.055 4.407
Te 6.249 1.927 2.145
Te 7.410 5.517 4.407
Te 3.609 5.465 2.145
Te 2.455 1.810 0.000
Tm 0.000 0.000 0.000
```

Output
- formation energy (no corrections) (meV/atom) = -1288
- total moment (μB per formula unit) = 0.0
- energy (eV per formula unit) = -61.93



(4)
The following is a DFT calculation (GGA-PBE) of a relaxed YHoPu2Se4 crystal.

The structure in extended XYZ format:
```
8
Lattice="-0.926 3.946 0.542 -5.970 -0.894 -3.691 -1.302 -1.259 6.940" Properties=species:S:1:pos:R:3 pbc="T T T"
Se -2.497 -1.179 4.314
Se -5.927 0.351 2.743
Se -4.775 -0.974 -1.065
Se -2.271 1.442 1.048
Ho -3.448 1.526 -1.575
Pu -3.636 -1.077 1.624
Pu -1.114 1.343 3.741
Y 0.000 0.000 0.000
```

Output
- formation energy (no corrections) (meV/atom) = -1668
- total moment (μB per formula unit) = 11.8
- energy (eV per formula unit) = -66.99



(5)
The following is a DFT calculation (GGA-PBE) of a relaxed RbTaPSe6 crystal.

The structure in extended XYZ format:
```
9
Lattice="6.412 0.000 0.000 3.206 5.553 0.000 0.000 0.000 8.176" Properties=species:S:1:pos:R:3 pbc="T T T"
Se 2.396 0.069 5.562
Se 5.154 2.040 5.563
Se 4.017 0.069 2.613
Se 1.258 2.040 2.613
Se 4.344 3.444 2.613
Se 2.068 3.444 5.563
Ta 6.412 3.702 4.088
P 3.206 1.851 4.088
Rb 6.412 0.000 8.176
```

Output
- formation energy (no corrections) (meV/atom) = -371
- total moment (μB per formula unit) = 0.0
- energy (eV per formula unit) = -42.48